Entry 1:
Density functional theory data (GGA+U) for a relaxed Cs2MnAlF6 crystal.

Lattice parameters (Å, degrees): 6.3424 6.3424 8.9174 90.00 90.00 90.00
Last column: nearest neighbours and their distance in Å.
Space group I4/mmm (No. 139)
Asymmetric unit:
Cs1 0.0000 0.5000 0.2500 x4  12 F 3.19
Mn1 0.0000 0.0000 0.0000 x2  6 F 2.60-2.63
Al1 0.0000 0.0000 0.5000 x2  6 F 1.86
F1 0.0000 0.0000 0.2916 x4  1 Al 1.86
F2 0.2070 0.2070 0.5000 x8  1 Al 1.86


Entry 2:
Density functional theory data (GGA+U) for a relaxed CsMnAlF6 crystal.

Lattice parameters (Å, degrees): 7.2565 7.5624 10.4068 90.00 90.00 90.00
Last column: nearest neighbours and their distance in Å.
Space group Imma (No. 74)
Asymmetric unit:
Cs1 0.0000 0.2500 0.1161 x4  5 F 3.07-3.22
Mn1 0.0000 0.0000 0.5000 x4  6 F 2.11-2.17
Al1 0.2500 0.2500 0.7500 x4  6 F 1.82-1.85
F1 0.0000 0.2500 0.4108 x4  2 Mn 2.11
F2 0.0000 0.2500 0.7845 x4  2 Al 1.85
F3 0.2202 0.0796 0.6284 x16  1 Al 1.82


We obtain raw total energy values of -0.38168 -0.42353 Ry per atom for the records listed above, in that order.